(1)
A plane-wave DFT calculation with PBEsol was carried out for a relaxed structure of CsZrAl2B.

Cell lengths 5.255, 5.255, 5.812 Å; angles 90.00, 90.00, 90.00 degrees
Fractional coordinates of all 5 atoms:
1 Cs 0.000 0.000 0.500
2 B 0.500 0.500 0.500
3 Al 0.000 0.500 0.000
4 Al 0.500 0.000 0.000
5 Zr 0.000 0.000 0.000

Values from the calculation:
E = -3.122 eV/atom


(2)
A plane-wave DFT calculation with PBEsol was carried out for a relaxed structure of AlCuB3.

Cell lengths 4.065, 4.065, 4.065 Å; angles 90.00, 90.00, 90.00 degrees
Fractional coordinates of all 5 atoms:
1 B 0.000 0.500 0.000
2 B 0.000 0.000 0.500
3 B 0.500 0.000 0.000
4 Al 0.000 0.000 0.000
5 Cu 0.500 0.500 0.500

Values from the calculation:
excess energy over the best structure of this formula in the dataset = 0.537 eV/atom


(3)
A plane-wave DFT calculation with PBEsol was carried out for a relaxed structure of AlCuB3.

Cell lengths 3.851, 3.851, 3.851 Å; angles 90.00, 90.00, 90.00 degrees
Fractional coordinates of all 5 atoms:
1 B 0.000 0.500 0.000
2 B 0.000 0.000 0.500
3 B 0.500 0.000 0.000
4 Al 0.500 0.500 0.500
5 Cu 0.000 0.000 0.000

Values from the calculation:
excess energy over the best structure of this formula in the dataset = 0.000 eV/atom


(4)
A plane-wave DFT calculation with PBEsol was carried out for a relaxed structure of KAlCu2B.

Cell lengths 4.145, 4.309, 4.309 Å; angles 90.00, 90.00, 90.00 degrees
Fractional coordinates of all 5 atoms:
1 K 0.500 0.500 0.500
2 B 0.000 0.000 0.000
3 Al 0.500 0.000 0.000
4 Cu 0.000 0.000 0.500
5 Cu 0.000 0.500 0.000

Values from the calculation:
E = -3.752 eV/atom


(5)
A plane-wave DFT calculation with PBEsol was carried out for a relaxed structure of Al6Cu2B4O17.

Cell lengths 5.688, 7.924, 8.094 Å; angles 82.73, 69.43, 68.97 degrees
Last column: magnetic moment on the atom in μB.
Fractional coordinates of all 29 atoms:
1 Al 0.007 0.994 0.495  0.00
2 Al 0.504 0.994 0.495  0.00
3 Al 0.997 0.500 0.005  0.00
4 Al 0.499 0.500 0.005  0.00
5 Al 0.029 0.157 0.785  0.00
6 Al 0.185 0.788 0.841  0.00
7 Cu 0.971 0.844 0.213  0.62
8 Cu 0.817 0.210 0.157  0.63
9 B 0.760 0.739 0.741  0.00
10 B 0.236 0.270 0.259  0.00
11 B 0.497 0.739 0.266  0.00
12 B 0.503 0.255 0.739  0.00
13 O 0.757 0.871 0.616  0.01
14 O 0.241 0.134 0.385  0.00
15 O 0.627 0.621 0.125  0.00
16 O 0.374 0.381 0.870  0.00
17 O 0.789 0.065 0.358  0.19
18 O 0.213 0.932 0.643  0.01
19 O 0.859 0.355 0.927  0.08
20 O 0.149 0.650 0.052  0.07
21 O 0.782 0.188 0.673  0.00
22 O 0.635 0.801 0.339  0.06
23 O 0.971 0.674 0.808  0.00
24 O 0.439 0.340 0.192  0.06
25 O 0.225 0.801 0.339  0.06
26 O 0.357 0.188 0.673  0.00
27 O 0.029 0.340 0.192  0.06
28 O 0.547 0.674 0.808  0.00
29 O 0.020 0.997 0.962  0.05

Values from the calculation:
uncorrected formation energy = -2.503 eV per atom


(6)
A plane-wave DFT calculation with PBEsol was carried out for a relaxed structure of ScAl2CuB.

Cell lengths 3.829, 4.568, 4.568 Å; angles 90.00, 90.00, 90.00 degrees
Fractional coordinates of all 5 atoms:
1 Sc 0.500 0.500 0.500
2 B 0.500 0.000 0.000
3 Al 0.000 0.000 0.500
4 Al 0.000 0.500 0.000
5 Cu 0.000 0.000 0.000

Values from the calculation:
E = -4.832 eV/atom


no.,magnetization (μB per cell)
1,0.000
2,0.001
3,0.000
4,0.000
5,1.999
6,0.000